Density functional theory data (meta-GGA SCAN) for a crystal of Li3MnCd relaxed with PBEsol.

**Density of states at the Fermi level**: 2.80 states/eV/cell
**Calculated formation energy**: 538 meV per atom
**DFT total energy**: -10.629 eV per atom

Cell lengths 4.7378, 4.7378, 4.7378 Å; angles 90.00, 90.00, 90.00 degrees
Space group Pm-3m (No. 221)
Symmetry-distinct sites (fractional):
Li 0.0000 0.0000 0.5000 x3
Mn 0.0000 0.0000 0.0000 x1
Cd 0.5000 0.5000 0.5000 x1



Density functional theory data (meta-GGA SCAN) for a crystal of LiMn2Cd relaxed with PBEsol.

**Density of states at the Fermi level**: 4.23 states/eV/cell
**Calculated formation energy**: 128 meV per atom
**DFT total energy**: -17.201 eV per atom

Cell lengths 3.0494, 4.5723, 9.2868 Å; angles 90.00, 90.00, 90.00 degrees
Space group Cmmm (No. 65)
Symmetry-distinct sites (fractional):
Li 0.0000 0.0000 0.0000 x2
Mn 0.0000 0.5000 0.2430 x4
Cd 0.0000 0.0000 0.5000 x2



Density functional theory data (meta-GGA SCAN) for a crystal of LiMnCdP2 relaxed with PBEsol.

**Density of states at the Fermi level**: 2.41 states/eV/cell
**Calculated formation energy**: 553 meV per atom
**DFT total energy**: -13.818 eV per atom

Cell lengths 4.3412, 4.3412, 4.3509 Å; angles 90.00, 90.00, 90.00 degrees
Space group P4/mmm (No. 123)
Symmetry-distinct sites (fractional):
Li 0.0000 0.0000 0.0000 x1
Mn 0.0000 0.0000 0.5000 x1
Cd 0.5000 0.5000 0.5000 x1
P 0.0000 0.5000 0.0000 x2



Density functional theory data (meta-GGA SCAN) for a crystal of LiCd2Mo relaxed with PBEsol.

**Density of states at the Fermi level**: 4.49 states/eV/cell
**Calculated formation energy**: 360 meV per atom
**DFT total energy**: -24.166 eV per atom

Cell lengths 9.4979, 2.6682, 5.5661 Å; angles 90.00, 95.73, 90.00 degrees
Space group C2/m (No. 12)
Symmetry-distinct sites (fractional):
Li 0.0000 0.0000 0.0000 x2
Cd 0.2480 0.0000 0.7499 x4
Mo 0.0000 0.5000 0.5000 x2



Density functional theory data (meta-GGA SCAN) for a crystal of LiCdMo2 relaxed with PBEsol.

**Density of states at the Fermi level**: 1.81 states/eV/cell
**Calculated formation energy**: 529 meV per atom
**DFT total energy**: -25.115 eV per atom

Cell lengths 2.6231, 2.6231, 9.2671 Å; angles 90.00, 90.00, 90.00 degrees
Space group P4/mmm (No. 123)
Symmetry-distinct sites (fractional):
Li 0.0000 0.0000 0.0000 x1
Cd 0.0000 0.0000 0.5000 x1
Mo 0.5000 0.5000 0.2451 x2



Density functional theory data (meta-GGA SCAN) for a crystal of LiCdMo2 relaxed with PBEsol.

**Density of states at the Fermi level**: 2.10 states/eV/cell
**Calculated formation energy**: 335 meV per atom
**DFT total energy**: -25.309 eV per atom

Cell lengths 2.6487, 2.6487, 9.1521 Å; angles 90.00, 90.00, 90.00 degrees
Space group P4mm (No. 99)
Symmetry-distinct sites (fractional):
Li 0.0000 0.0000 0.0000 x1
Cd 0.5000 0.5000 0.7538 x1
Mo 0.0000 0.0000 0.4960 x1
Mo 0.5000 0.5000 0.2475 x1



Density functional theory data (meta-GGA SCAN) for a crystal of Li2CdMo relaxed with PBEsol.

**Density of states at the Fermi level**: 9.39 states/eV/cell
**Calculated formation energy**: 752 meV per atom
**DFT total energy**: -16.768 eV per atom

Cell lengths 6.8727, 6.8727, 5.4526 Å; angles 90.00, 90.00, 90.00 degrees
Space group I-42d (No. 122)
Symmetry-distinct sites (fractional):
Li 0.2417 0.2500 0.1250 x8
Cd 0.0000 0.0000 0.0000 x4
Mo 0.0000 0.0000 0.5000 x4



Density functional theory data (meta-GGA SCAN) for a crystal of LiCdMo2 relaxed with PBEsol.

**Density of states at the Fermi level**: 4.20 states/eV/cell
**Calculated formation energy**: 303 meV per atom
**DFT total energy**: -25.341 eV per atom

Cell lengths 3.3344, 3.9397, 9.3822 Å; angles 90.00, 90.00, 90.00 degrees
Space group Immm (No. 71)
Symmetry-distinct sites (fractional):
Li 0.0000 0.0000 0.0000 x2
Cd 0.0000 0.0000 0.5000 x2
Mo 0.0000 0.5000 0.2529 x4



Density functional theory data (meta-GGA SCAN) for a crystal of Li2CdN2 relaxed with PBEsol.

**Density of states at the Fermi level**: 2.66 states/eV/cell
**Raw formation energy**: -25 meV/atom
**DFT total energy**: -10.780 eV per atom

Cell lengths 6.3497, 6.3497, 2.9939 Å; angles 90.00, 90.00, 90.00 degrees
Space group P4/mbm (No. 127)
Symmetry-distinct sites (fractional):
Li 0.1480 0.3520 0.0000 x4
Cd 0.0000 0.0000 0.5000 x2
N 0.0715 0.5715 0.5000 x4



Density functional theory data (meta-GGA SCAN) for a crystal of Li2CdSbN relaxed with PBEsol.

**Density of states at the Fermi level**: 1.55 states/eV/cell
**Raw formation energy**: 733 meV/atom
**DFT total energy**: -15.616 eV per atom

Cell lengths 5.1738, 5.1738, 5.4416 Å; angles 90.00, 90.00, 90.00 degrees
Space group P4/mmm (No. 123)
Symmetry-distinct sites (fractional):
Li 0.0000 0.5000 0.0000 x2
Cd 0.0000 0.0000 0.5000 x1
Sb 0.0000 0.0000 0.0000 x1
N 0.5000 0.5000 0.5000 x1



Density functional theory data (meta-GGA SCAN) for a crystal of LiCdTeN2 relaxed with PBEsol.

**Density of states at the Fermi level**: 1.71 states/eV/cell
**Raw formation energy**: 1296 meV/atom
**DFT total energy**: -16.432 eV per atom

Cell lengths 4.1004, 4.1004, 5.1269 Å; angles 90.00, 90.00, 90.00 degrees
Space group P4/mmm (No. 123)
Symmetry-distinct sites (fractional):
Li 0.0000 0.0000 0.0000 x1
Cd 0.5000 0.5000 0.5000 x1
Te 0.0000 0.0000 0.5000 x1
N 0.0000 0.5000 0.0000 x2



Density functional theory data (meta-GGA SCAN) for a crystal of NaLi3Cd relaxed with PBEsol.

**Density of states at the Fermi level**: 2.27 states/eV/cell
**Calculated formation energy**: 35 meV per atom
**DFT total energy**: -8.325 eV per atom

Cell lengths 5.1731, 5.1731, 5.1731 Å; angles 90.00, 90.00, 90.00 degrees
Space group Pm-3m (No. 221)
Symmetry-distinct sites (fractional):
Na 0.0000 0.0000 0.0000 x1
Li 0.0000 0.5000 0.5000 x3
Cd 0.5000 0.5000 0.5000 x1



Repeat the fourth record exactly.
Density functional theory data (meta-GGA SCAN) for a crystal of LiCd2Mo relaxed with PBEsol.

**Density of states at the Fermi level**: 4.49 states/eV/cell
**Calculated formation energy**: 360 meV per atom
**DFT total energy**: -24.166 eV per atom

Cell lengths 9.4979, 2.6682, 5.5661 Å; angles 90.00, 95.73, 90.00 degrees
Space group C2/m (No. 12)
Symmetry-distinct sites (fractional):
Li 0.0000 0.0000 0.0000 x2
Cd 0.2480 0.0000 0.7499 x4
Mo 0.0000 0.5000 0.5000 x2